VASP calculation (PBE) on a relaxed structure of Cs2MgRh.

Cell and atoms, written as CIF:
```
data_Cs2MgRh
_chemical_formula_sum 'Cs8 Mg4 Rh4'
_cell_length_a 12.697
_cell_length_b 12.697
_cell_length_c 5.087
_cell_angle_alpha 90.00
_cell_angle_beta 90.00
_cell_angle_gamma 90.00
_symmetry_space_group_name_H-M 'I -4 2 d'
_symmetry_Int_Tables_number 122
_symmetry_space_group_name_Hall 'I -4 2bw'
loop_
_atom_site_label
_atom_site_type_symbol
_atom_site_fract_x
_atom_site_fract_y
_atom_site_fract_z
_atom_site_occupancy
Cs1 Cs 0.067 0.750 0.125 1
Mg1 Mg 0.000 0.000 0.500 1
Rh1 Rh 0.000 0.000 0.000 1
```

Properties
The value obtained for the distance to the lowest polymorph of the same formula is 0 meV per atom. The value obtained for the volume is 51.26 Å³/atom. The calculation puts the formation energy at 338 meV/atom. The mass density comes out at 3.18 g cm⁻³. The energy comes out at -2.325 eV per atom.